[1]
The following is a PBE calculation of a geometry-optimized Cd6Te structure, from Alexandria.

Cell lengths 7.9638, 7.9638, 7.9638 Å; angles 90.00, 90.00, 90.00 degrees
Space group Im-3m (No. 229)
Symmetry-distinct sites (fractional):
Cd  0.0000  0.2500  0.5000
Te  0.0000  0.0000  0.0000

* density of states at the Fermi level: 10.4 states/eV per cell
* uncorrected formation energy: 0.39 eV per atom
* calculated volume: 36.078 Å³ per atom

***

[2]
The following is a PBE calculation of a geometry-optimized Cd2Te structure, from Alexandria.

Cell lengths 8.2474, 8.2474, 4.3930 Å; angles 90.00, 90.00, 120.00 degrees
Space group P-62m (No. 189)
Symmetry-distinct sites (fractional):
Cd  0.0000  0.2679  0.0000
Cd  0.0000  0.5773  0.5000
Te  0.0000  0.0000  0.5000
Te  0.3333  0.6667  0.0000

* density of states at the Fermi level: 3.9 states/eV per cell
* uncorrected formation energy: 0.01 eV per atom
* calculated volume: 28.753 Å³ per atom

***

[3]
The following is a PBE calculation of a geometry-optimized Cd5Te4 structure, from Alexandria.

Cell lengths 11.4854, 11.4854, 4.2522 Å; angles 90.00, 90.00, 90.00 degrees
Space group I4/mmm (No. 139)
Symmetry-distinct sites (fractional):
Cd  0.0000  0.0000  0.0000
Cd  0.1812  0.1812  0.5000
Te  0.0000  0.2571  0.0000

* density of states at the Fermi level: 5.3 states/eV per cell
* uncorrected formation energy: -0.07 eV per atom
* calculated volume: 31.163 Å³ per atom

***

[4]
The following is a PBE calculation of a geometry-optimized Cd2Te structure, from Alexandria.

Cell lengths 6.1514, 7.2290, 4.4352 Å; angles 90.00, 90.00, 90.00 degrees
Space group Pnnm (No. 58)
Symmetry-distinct sites (fractional):
Cd  0.1862  0.1071  0.0000
Te  0.0000  0.5000  0.0000

* density of states at the Fermi level: 0.6 states/eV per cell
* uncorrected formation energy: -0.12 eV per atom
* calculated volume: 32.871 Å³ per atom

***

[5]
The following is a PBE calculation of a geometry-optimized Cd2Te structure, from Alexandria.

Cell lengths 3.4310, 3.4310, 13.3300 Å; angles 90.00, 90.00, 90.00 degrees
Space group I4/mmm (No. 139)
Symmetry-distinct sites (fractional):
Cd  0.0000  0.0000  0.1774
Te  0.0000  0.0000  0.5000

* density of states at the Fermi level: 2.6 states/eV per cell
* uncorrected formation energy: 0.08 eV per atom
* calculated volume: 26.153 Å³ per atom

***

[6]
The following is a PBE calculation of a geometry-optimized Cd2Te structure, from Alexandria.

Cell lengths 16.4232, 3.0851, 6.7184 Å; angles 90.00, 101.18, 90.00 degrees
Space group C2/m (No. 12)
Symmetry-distinct sites (fractional):
Cd  0.0268  0.0000  0.2966
Cd  0.1741  0.5000  0.5125
Te  0.1327  0.5000  0.9356

* density of states at the Fermi level: 3.2 states/eV per cell
* uncorrected formation energy: -0.04 eV per atom
* calculated volume: 27.829 Å³ per atom